A plane-wave DFT calculation with PBE-GGA was carried out for a geometry-optimized BeTlCoW structure. Values from VASP.

- E above lowest polymorph (meV/atom) = 0
- theoretical density (g/cm³) = 13.37

Structure (Quantum ESPRESSO input):
```
&SYSTEM
  ibrav = 0, nat = 4, ntyp = 4
/
ATOMIC_SPECIES
Be 9.01 Be.upf
Co 58.93 Co.upf
Tl 204.38 Tl.upf
W 183.84 W.upf
CELL_PARAMETERS angstrom
0.472 -0.970 4.174
1.979 2.769 2.646
-2.272 2.133 2.979
ATOMIC_POSITIONS angstrom
Be 0.045 0.983 2.450
Co 0.134 2.949 7.349
Tl 0.000 0.000 0.000
W 0.089 1.966 4.899
```

A plane-wave DFT calculation with PBE-GGA was carried out for a geometry-optimized YBeTlCo structure. Values from VASP.

- E above lowest polymorph (meV/atom) = 95
- theoretical density (g/cm³) = 8.44

Structure (Quantum ESPRESSO input):
```
&SYSTEM
  ibrav = 0, nat = 4, ntyp = 4
/
ATOMIC_SPECIES
Be 9.01 Be.upf
Co 58.93 Co.upf
Tl 204.38 Tl.upf
Y 88.91 Y.upf
CELL_PARAMETERS angstrom
-1.406 -1.167 4.274
1.150 2.662 3.633
-3.253 2.532 2.149
ATOMIC_POSITIONS angstrom
Be -1.755 2.014 5.028
Co -2.632 3.021 7.542
Tl 0.000 0.000 0.000
Y -0.877 1.007 2.514
```

A plane-wave DFT calculation with PBE-GGA was carried out for a geometry-optimized YBeTlCo structure. Values from VASP.

- E above lowest polymorph (meV/atom) = 0
- theoretical density (g/cm³) = 8.68

Structure (Quantum ESPRESSO input):
```
&SYSTEM
  ibrav = 0, nat = 4, ntyp = 4
/
ATOMIC_SPECIES
Be 9.01 Be.upf
Co 58.93 Co.upf
Tl 204.38 Tl.upf
Y 88.91 Y.upf
CELL_PARAMETERS angstrom
-0.512 -3.923 -2.359
1.412 -3.986 1.826
-3.090 -3.127 1.374
ATOMIC_POSITIONS angstrom
Be -0.547 -2.759 0.210
Co -1.642 -8.277 0.631
Tl 0.000 0.000 0.000
Y -1.095 -5.518 0.421
```

A plane-wave DFT calculation with PBE-GGA was carried out for a geometry-optimized TmBeCo structure. Values from VASP.

- E above lowest polymorph (meV/atom) = 0
- theoretical density (g/cm³) = 8.07

Structure (Quantum ESPRESSO input):
```
&SYSTEM
  ibrav = 0, nat = 3, ntyp = 3
/
ATOMIC_SPECIES
Be 9.01 Be.upf
Co 58.93 Co.upf
Tm 168.93 Tm.upf
CELL_PARAMETERS angstrom
-3.975 0.156 0.991
-1.682 3.550 1.172
-2.653 1.923 -2.463
ATOMIC_POSITIONS angstrom
Be 0.000 0.000 0.000
Co -2.078 1.407 -0.075
Tm -6.233 4.222 -0.225
```

A plane-wave DFT calculation with PBE-GGA was carried out for a geometry-optimized Tm4BeCo structure. Values from VASP.

- total DFT energy (no corrections) (eV per cell) = -27.989
- theoretical density (g/cm³) = 7.87

Structure (Quantum ESPRESSO input):
```
&SYSTEM
  ibrav = 0, nat = 6, ntyp = 3
/
ATOMIC_SPECIES
Be 9.01 Be.upf
Co 58.93 Co.upf
Tm 168.93 Tm.upf
CELL_PARAMETERS angstrom
4.482 -4.701 0.000
4.482 4.701 0.000
0.000 0.000 3.722
ATOMIC_POSITIONS angstrom
Be 4.482 0.000 0.000
Co 0.000 0.000 1.861
Tm 1.797 0.000 0.000
Tm 7.167 0.000 0.000
Tm 4.482 -2.066 1.861
Tm 4.482 2.066 1.861
```

A plane-wave DFT calculation with PBE-GGA was carried out for a geometry-optimized Tm3Be4Co structure. Values from VASP.

- total DFT energy (no corrections) (eV per cell) = -35.023
- theoretical density (g/cm³) = 7.38

Structure (Quantum ESPRESSO input):
```
&SYSTEM
  ibrav = 0, nat = 8, ntyp = 3
/
ATOMIC_SPECIES
Be 9.01 Be.upf
Co 58.93 Co.upf
Tm 168.93 Tm.upf
CELL_PARAMETERS angstrom
6.781 1.446 4.292
2.366 5.205 5.815
-5.235 -5.457 -3.052
ATOMIC_POSITIONS angstrom
Be 4.931 0.568 3.758
Be 0.390 0.750 1.940
Be 3.522 0.444 5.115
Be -1.020 0.627 3.297
Co 0.000 0.000 0.000
Tm 4.573 3.326 5.054
Tm 2.580 -0.691 2.617
Tm 1.331 1.886 4.438
```

A plane-wave DFT calculation with PBE-GGA was carried out for a geometry-optimized Be2CoW structure. Values from VASP.

- total DFT energy (no corrections) (eV per cell) = -27.303
- theoretical density (g/cm³) = 9.99

Structure (Quantum ESPRESSO input):
```
&SYSTEM
  ibrav = 0, nat = 4, ntyp = 3
/
ATOMIC_SPECIES
Be 9.01 Be.upf
Co 58.93 Co.upf
W 183.84 W.upf
CELL_PARAMETERS angstrom
-1.637 -2.953 -2.038
-3.668 -1.180 0.841
-2.937 0.738 -2.526
ATOMIC_POSITIONS angstrom
Be 0.000 0.000 0.000
Be -6.182 -2.546 -2.791
Co -2.061 -0.849 -0.930
W -4.121 -1.698 -1.861
```

A plane-wave DFT calculation with PBE-GGA was carried out for a geometry-optimized BeCo2W structure. Values from VASP.

- total DFT energy (no corrections) (eV per cell) = -30.324
- theoretical density (g/cm³) = 11.41

Structure (Quantum ESPRESSO input):
```
&SYSTEM
  ibrav = 0, nat = 4, ntyp = 3
/
ATOMIC_SPECIES
Be 9.01 Be.upf
Co 58.93 Co.upf
W 183.84 W.upf
CELL_PARAMETERS angstrom
3.425 -0.819 1.895
2.504 2.962 0.974
0.465 1.047 3.831
ATOMIC_POSITIONS angstrom
Be 3.197 1.595 3.350
Co 0.000 0.000 0.000
Co 4.795 2.392 5.025
W 1.598 0.797 1.675
```

A plane-wave DFT calculation with PBE-GGA was carried out for a geometry-optimized YBeCo structure. Values from VASP.

- total DFT energy (no corrections) (eV per cell) = -14.430
- theoretical density (g/cm³) = 4.38

Structure (Quantum ESPRESSO input):
```
&SYSTEM
  ibrav = 0, nat = 3, ntyp = 3
/
ATOMIC_SPECIES
Be 9.01 Be.upf
Co 58.93 Co.upf
Y 88.91 Y.upf
CELL_PARAMETERS angstrom
0.000 3.097 3.097
3.097 0.000 3.097
3.097 3.097 0.000
ATOMIC_POSITIONS angstrom
Be 3.097 3.097 3.097
Co 0.000 0.000 0.000
Y 1.548 1.548 1.548
```

A plane-wave DFT calculation with PBE-GGA was carried out for a geometry-optimized Be2ZnCo structure. Values from VASP.

- total DFT energy (no corrections) (eV per cell) = -15.843
- theoretical density (g/cm³) = 5.85

Structure (Quantum ESPRESSO input):
```
&SYSTEM
  ibrav = 0, nat = 4, ntyp = 3
/
ATOMIC_SPECIES
Be 9.01 Be.upf
Co 58.93 Co.upf
Zn 65.41 Zn.upf
CELL_PARAMETERS angstrom
0.215 2.077 3.236
-3.187 1.545 1.512
-1.445 -1.397 3.284
ATOMIC_POSITIONS angstrom
Be 0.000 0.000 0.000
Be -3.313 1.668 6.024
Co -1.104 0.556 2.008
Zn -2.208 1.112 4.016
```

A plane-wave DFT calculation with PBE-GGA was carried out for a geometry-optimized BeZn2Co structure. Values from VASP.

- total DFT energy (no corrections) (eV per cell) = -13.247
- theoretical density (g/cm³) = 7.25

Structure (Quantum ESPRESSO input):
```
&SYSTEM
  ibrav = 0, nat = 4, ntyp = 3
/
ATOMIC_SPECIES
Be 9.01 Be.upf
Co 58.93 Co.upf
Zn 65.41 Zn.upf
CELL_PARAMETERS angstrom
0.795 0.348 3.914
1.316 3.487 1.475
-2.385 2.214 2.340
ATOMIC_POSITIONS angstrom
Be -0.137 3.025 3.865
Co -0.069 1.512 1.932
Zn 0.000 0.000 0.000
Zn -0.206 4.537 5.797
```

A plane-wave DFT calculation with PBE-GGA was carried out for a geometry-optimized BeZnCo structure. Values from VASP.

- E above lowest polymorph (meV/atom) = 0
- theoretical density (g/cm³) = 5.76

Structure (Quantum ESPRESSO input):
```
&SYSTEM
  ibrav = 0, nat = 3, ntyp = 3
/
ATOMIC_SPECIES
Be 9.01 Be.upf
Co 58.93 Co.upf
Zn 65.41 Zn.upf
CELL_PARAMETERS angstrom
0.000 2.678 2.678
2.678 0.000 2.678
2.678 2.678 0.000
ATOMIC_POSITIONS angstrom
Be 1.339 1.339 1.339
Co 0.000 0.000 0.000
Zn 4.017 4.017 4.017
```

A plane-wave DFT calculation with PBE-GGA was carried out for a geometry-optimized BeZnCo structure. Values from VASP.

- E above lowest polymorph (meV/atom) = 105
- theoretical density (g/cm³) = 5.82

Structure (Quantum ESPRESSO input):
```
&SYSTEM
  ibrav = 0, nat = 3, ntyp = 3
/
ATOMIC_SPECIES
Be 9.01 Be.upf
Co 58.93 Co.upf
Zn 65.41 Zn.upf
CELL_PARAMETERS angstrom
1.248 -2.346 -2.683
0.716 -3.613 0.835
-2.254 -2.726 -1.322
ATOMIC_POSITIONS angstrom
Be -0.072 -2.171 -0.792
Co -0.217 -6.514 -2.377
Zn 0.000 0.000 0.000
```

A plane-wave DFT calculation with PBE-GGA was carried out for a geometry-optimized BeZnCo2 structure. Values from VASP.

- E above lowest polymorph (meV/atom) = 0
- theoretical density (g/cm³) = 7.48

Structure (Quantum ESPRESSO input):
```
&SYSTEM
  ibrav = 0, nat = 4, ntyp = 3
/
ATOMIC_SPECIES
Be 9.01 Be.upf
Co 58.93 Co.upf
Zn 65.41 Zn.upf
CELL_PARAMETERS angstrom
-2.228 -2.818 1.576
-0.986 0.170 3.793
-3.704 0.775 1.031
ATOMIC_POSITIONS angstrom
Be 0.000 0.000 0.000
Co -3.459 -0.936 3.200
Co -5.189 -1.405 4.800
Zn -1.730 -0.468 1.600
```

A plane-wave DFT calculation with PBE-GGA was carried out for a geometry-optimized BeZn2Co structure. Values from VASP.

- total DFT energy (no corrections) (eV per cell) = -13.247
- theoretical density (g/cm³) = 7.25

Structure (Quantum ESPRESSO input):
```
&SYSTEM
  ibrav = 0, nat = 4, ntyp = 3
/
ATOMIC_SPECIES
Be 9.01 Be.upf
Co 58.93 Co.upf
Zn 65.41 Zn.upf
CELL_PARAMETERS angstrom
0.000 2.834 2.834
2.834 0.000 2.834
2.834 2.834 0.000
ATOMIC_POSITIONS angstrom
Be 1.417 1.417 1.417
Co 2.834 2.834 2.834
Zn 0.000 0.000 0.000
Zn 4.250 4.250 4.250
```

A plane-wave DFT calculation with PBE-GGA was carried out for a geometry-optimized ZrBeZnCo structure. Values from VASP.

- E above lowest polymorph (meV/atom) = 0
- theoretical density (g/cm³) = 6.82

Structure (Quantum ESPRESSO input):
```
&SYSTEM
  ibrav = 0, nat = 4, ntyp = 4
/
ATOMIC_SPECIES
Be 9.01 Be.upf
Co 58.93 Co.upf
Zn 65.41 Zn.upf
Zr 91.22 Zr.upf
CELL_PARAMETERS angstrom
-4.016 -0.714 1.227
-3.074 2.750 -1.067
-2.942 -1.105 -2.876
ATOMIC_POSITIONS angstrom
Be -2.508 0.233 -0.679
Co -7.524 0.698 -2.037
Zn 0.000 0.000 0.000
Zr -5.016 0.465 -1.358
```

A plane-wave DFT calculation with PBE-GGA was carried out for a geometry-optimized ZrBeZnCo structure. Values from VASP.

- E above lowest polymorph (meV/atom) = 56
- theoretical density (g/cm³) = 6.84

Structure (Quantum ESPRESSO input):
```
&SYSTEM
  ibrav = 0, nat = 4, ntyp = 4
/
ATOMIC_SPECIES
Be 9.01 Be.upf
Co 58.93 Co.upf
Zn 65.41 Zn.upf
Zr 91.22 Zr.upf
CELL_PARAMETERS angstrom
0.000 3.010 3.010
3.010 0.000 3.010
3.010 3.010 0.000
ATOMIC_POSITIONS angstrom
Be 3.010 3.010 3.010
Co 4.514 4.514 4.514
Zn 0.000 0.000 0.000
Zr 1.505 1.505 1.505
```

A plane-wave DFT calculation with PBE-GGA was carried out for a geometry-optimized ZrBe2Co structure. Values from VASP.

- total DFT energy (no corrections) (eV per cell) = -23.374
- theoretical density (g/cm³) = 5.61

Structure (Quantum ESPRESSO input):
```
&SYSTEM
  ibrav = 0, nat = 4, ntyp = 3
/
ATOMIC_SPECIES
Be 9.01 Be.upf
Co 58.93 Co.upf
Zr 91.22 Zr.upf
CELL_PARAMETERS angstrom
1.967 -3.629 -0.076
-2.025 -3.466 0.964
-0.879 -2.763 -2.939
ATOMIC_POSITIONS angstrom
Be 0.000 0.000 0.000
Be -0.703 -7.393 -1.538
Co -0.234 -2.464 -0.513
Zr -0.468 -4.929 -1.025
```

A plane-wave DFT calculation with PBE-GGA was carried out for a geometry-optimized CsBeCu structure. Values from VASP.

- E above lowest polymorph (meV/atom) = 0
- theoretical density (g/cm³) = 3.41

Structure (Quantum ESPRESSO input):
```
&SYSTEM
  ibrav = 0, nat = 3, ntyp = 3
/
ATOMIC_SPECIES
Be 9.01 Be.upf
Cs 132.91 Cs.upf
Cu 63.55 Cu.upf
CELL_PARAMETERS angstrom
1.850 -2.899 3.912
-3.172 -3.234 2.571
0.501 -5.151 -0.586
ATOMIC_POSITIONS angstrom
Be -0.205 -2.821 1.474
Cs -0.616 -8.463 4.423
Cu 0.000 0.000 0.000
```

A plane-wave DFT calculation with PBE-GGA was carried out for a geometry-optimized CsErBeTe3 structure. Values from VASP.

- total DFT energy (no corrections) (eV per cell) = -49.503
- theoretical density (g/cm³) = 5.36

Structure (Quantum ESPRESSO input):
```
&SYSTEM
  ibrav = 0, nat = 12, ntyp = 4
/
ATOMIC_SPECIES
Be 9.01 Be.upf
Cs 132.91 Cs.upf
Er 167.26 Er.upf
Te 127.60 Te.upf
CELL_PARAMETERS angstrom
-8.282 3.094 1.049
6.335 -6.122 1.285
3.245 5.396 9.710
ATOMIC_POSITIONS angstrom
Be 0.379 -0.506 3.603
Be 0.919 2.874 8.440
Cs -3.680 2.053 3.537
Cs 4.978 0.315 8.506
Er 0.000 0.000 0.000
Er 1.622 2.698 4.855
Te 0.954 -2.196 1.889
Te 6.384 -4.292 3.700
Te 2.112 -0.271 5.354
Te -0.814 2.639 6.689
Te -5.086 6.660 8.343
Te 0.345 4.564 10.154
```